1.
# LaSiAg

A relaxed LaSiAg crystal (PBE-GGA, Alexandria via LeMat-Bulk).

Cell lengths 4.150, 4.261, 8.136 Å; angles 90.00, 90.00, 90.00 degrees
Space group Pmma (No. 51)
Symmetry-distinct sites (fractional):
1 La 0.250 0.000 0.215 [2 per cell]
2 Si 0.250 0.500 0.925 [2 per cell]
3 Ag 0.250 0.500 0.607 [2 per cell]

Formation energy (no corrections) (eV/atom): -0.51

---

2.
# LaSiAg

A relaxed LaSiAg crystal (PBE-GGA, Alexandria via LeMat-Bulk).

Cell lengths 10.156, 4.000, 7.606 Å; angles 90.00, 112.53, 90.00 degrees
Space group Cm (No. 8)
Symmetry-distinct sites (fractional):
1 La 0.000 0.000 0.000 [2 per cell]
2 La 0.214 0.500 0.440 [2 per cell]
3 Si 0.352 0.000 0.209 [2 per cell]
4 Si 0.484 0.500 0.392 [2 per cell]
5 Ag 0.236 0.000 0.802 [2 per cell]
6 Ag 0.496 0.000 0.666 [2 per cell]

Formation energy (no corrections) (eV/atom): -0.37

---

3.
# LaSi2Ag

A relaxed LaSi2Ag crystal (PBE-GGA, Alexandria via LeMat-Bulk).

Cell lengths 3.456, 3.456, 6.855 Å; angles 90.00, 90.00, 90.00 degrees
Space group P4mm (No. 99)
Symmetry-distinct sites (fractional):
1 La 0.000 0.000 0.000 [1 per cell]
2 Si 0.000 0.000 0.456 [1 per cell]
3 Si 0.500 0.500 0.296 [1 per cell]
4 Ag 0.500 0.500 0.673 [1 per cell]

Formation energy (no corrections) (eV/atom): -0.06

---

4.
# La2Si2Ag

A relaxed La2Si2Ag crystal (PBE-GGA, Alexandria via LeMat-Bulk).

Cell lengths 11.182, 4.494, 11.175 Å; angles 90.00, 119.56, 90.00 degrees
Space group C2/m (No. 12)
Symmetry-distinct sites (fractional):
1 La 0.106 0.000 0.411 [4 per cell]
2 La 0.211 0.500 0.153 [4 per cell]
3 Si 0.038 0.000 0.918 [4 per cell]
4 Si 0.113 0.500 0.609 [4 per cell]
5 Ag 0.066 0.500 0.819 [4 per cell]

Formation energy (no corrections) (eV/atom): -0.61
Distance to the lowest polymorph of the same formula (eV/atom): 0.000

---

5.
# La3SiAg

A relaxed La3SiAg crystal (PBE-GGA, Alexandria via LeMat-Bulk).

Cell lengths 5.706, 5.706, 5.706 Å; angles 90.00, 90.00, 90.00 degrees
Space group Pm-3m (No. 221)
Symmetry-distinct sites (fractional):
1 La 0.000 0.000 0.500 [3 per cell]
2 Si 0.000 0.000 0.000 [1 per cell]
3 Ag 0.500 0.500 0.500 [1 per cell]

Formation energy (no corrections) (eV/atom): 0.02
Distance to the lowest polymorph of the same formula (eV/atom): 0.390

---

6.
# LaSiAg

A relaxed LaSiAg crystal (PBE-GGA, Alexandria via LeMat-Bulk).

Cell lengths 4.303, 16.720, 3.901 Å; angles 90.00, 90.00, 90.00 degrees
Space group Cmcm (No. 63)
Symmetry-distinct sites (fractional):
1 La 0.000 0.102 0.250 [4 per cell]
2 Si 0.000 0.459 0.250 [4 per cell]
3 Ag 0.000 0.290 0.250 [4 per cell]

Formation energy (no corrections) (eV/atom): -0.52